Compound: NaCr4Ga3O12
Source: Alexandria
Functional: PBE+U
Structure: optimized geometry

Cell: 6.4414 6.4414 6.4414 Å, 109.47 109.47 109.47°
Positions (direct):
Na: 0.0000 0.0000 0.0000
Cr: 0.0000 0.0000 0.5000
Cr: 0.0000 0.5000 0.0000
Cr: 0.5000 0.0000 0.0000
Cr: 0.5000 0.5000 0.5000
Ga: 0.0000 0.5000 0.5000
Ga: 0.5000 0.0000 0.5000
Ga: 0.5000 0.5000 0.0000
O: 0.1341 0.8190 0.3152
O: 0.1810 0.3152 0.4962
O: 0.1810 0.6848 0.8659
O: 0.3152 0.1341 0.8190
O: 0.3152 0.4962 0.1810
O: 0.4962 0.1810 0.3152
O: 0.5038 0.8190 0.6848
O: 0.6848 0.5038 0.8190
O: 0.6848 0.8659 0.1810
O: 0.8190 0.3152 0.1341
O: 0.8190 0.6848 0.5038
O: 0.8659 0.1810 0.6848

Values from the calculation:
calculated total energy = -133.81 eV/cell